No. 1
Entry from Alexandria via LeMat-Bulk: a geometry-optimized Ce3Si3Pd2 structure (PBE-GGA).

Computed properties:
As for the calculated density: 7275 kg/m3. Its energy is -102.2 eV for the cell shown. For the density of states at the Fermi level, the calculation gives 10.3 states/eV/f.u. As for the space group: No. 63.

Cell lengths 5.7108, 5.7108, 14.3699 Å; angles 90.00, 90.00, 135.66 degrees
Last column: nearest neighbours and their distance in Å.
Element x y z (fractional)
Ce (0.0860, 0.9140, 0.6140)  6 Si 3.04-3.12, 4 Pd 3.07-3.22
Ce (0.0860, 0.9140, 0.8860)  6 Si 3.04-3.12, 4 Pd 3.07-3.22
Ce (0.3704, 0.6296, 0.7500)  5 Si 3.02-3.15, 4 Pd 3.25
Ce (0.6296, 0.3704, 0.2500)  5 Si 3.02-3.15, 4 Pd 3.25
Ce (0.9140, 0.0860, 0.1140)  6 Si 3.04-3.12, 4 Pd 3.07-3.22
Ce (0.9140, 0.0860, 0.3860)  6 Si 3.04-3.12, 4 Pd 3.07-3.22
Si (0.3320, 0.6680, 0.2500)  2 Pd 2.63
Si (0.3976, 0.6024, 0.5405)  1 Si 2.46, 3 Pd 2.54-2.74
Si (0.3976, 0.6024, 0.9595)  1 Si 2.46, 3 Pd 2.54-2.74
Si (0.6024, 0.3976, 0.0405)  1 Si 2.46, 3 Pd 2.54-2.74
Si (0.6024, 0.3976, 0.4595)  1 Si 2.46, 3 Pd 2.54-2.74
Si (0.6680, 0.3320, 0.7500)  2 Pd 2.63
Pd (0.2095, 0.7905, 0.0908)  4 Si 2.54-2.74
Pd (0.2095, 0.7905, 0.4092)  4 Si 2.54-2.74
Pd (0.7905, 0.2095, 0.5908)  4 Si 2.54-2.74
Pd (0.7905, 0.2095, 0.9092)  4 Si 2.54-2.74

---

No. 2
Entry from Alexandria via LeMat-Bulk: a geometry-optimized Ce3Si3Pd structure (PBE-GGA).

Computed properties:
As for the calculated density: 6510 kg/m3. Its energy is -88.8 eV for the cell shown. For the density of states at the Fermi level, the calculation gives 13.2 states/eV/f.u. As for the space group: No. 44.

Cell lengths 4.0836, 4.1531, 18.3810 Å; angles 90.00, 90.00, 90.00 degrees
Last column: nearest neighbours and their distance in Å.
Element x y z (fractional)
Ce (0.0000, 0.0000, 0.0000)  5 Si 3.03-3.17, 2 Pd 3.07
Ce (0.0000, 0.0000, 0.3753)  7 Si 3.04-3.14
Ce (0.0000, 0.5000, 0.6900)  8 Si 3.14-3.36, 4 Pd 3.16
Ce (0.5000, 0.0000, 0.1900)  8 Si 3.14-3.36, 4 Pd 3.16
Ce (0.5000, 0.5000, 0.5000)  5 Si 3.03-3.17, 2 Pd 3.07
Ce (0.5000, 0.5000, 0.8753)  7 Si 3.04-3.14
Si (0.0000, 0.0000, 0.5463)  2 Pd 2.48
Si (0.0000, 0.0000, 0.8276)  2 Si 2.45
Si (0.0000, 0.5000, 0.2542)  1 Pd 2.41, 2 Si 2.45
Si (0.5000, 0.0000, 0.7542)  1 Pd 2.41, 2 Si 2.45
Si (0.5000, 0.5000, 0.0463)  2 Pd 2.48
Si (0.5000, 0.5000, 0.3276)  2 Si 2.45
Pd (0.0000, 0.5000, 0.1234)  3 Si 2.41-2.48
Pd (0.5000, 0.0000, 0.6234)  3 Si 2.41-2.48

---

No. 3
Entry from Alexandria via LeMat-Bulk: a geometry-optimized Ce2Si5Pd3 structure (PBE-GGA).

Computed properties:
As for the calculated density: 6970 kg/m3. Its energy is -125.3 eV for the cell shown. For the density of states at the Fermi level, the calculation gives 11.2 states/eV/f.u. As for the space group: No. 72.

Cell lengths 8.2805, 8.2805, 8.2805 Å; angles 106.17, 89.12, 137.46 degrees
Last column: nearest neighbours and their distance in Å.
Element x y z (fractional)
Ce (0.1282, 0.2322, 0.3604)  10 Si 3.08-3.26, 7 Pd 3.17-3.41
Ce (0.3718, 0.7322, 0.1041)  10 Si 3.08-3.26, 7 Pd 3.17-3.41
Ce (0.6282, 0.2678, 0.8959)  10 Si 3.08-3.26, 7 Pd 3.17-3.41
Ce (0.8718, 0.7678, 0.6396)  10 Si 3.08-3.26, 7 Pd 3.17-3.41
Si (0.0263, 0.7500, 0.2763)  3 Pd 2.46-2.64, 2 Si 2.49
Si (0.1135, 0.6508, 0.7643)  3 Pd 2.42-2.51, 2 Si 2.49
Si (0.2500, 0.2500, 0.0000)  4 Pd 2.47
Si (0.3865, 0.1508, 0.5373)  3 Pd 2.42-2.51, 2 Si 2.49
Si (0.4737, 0.7500, 0.7237)  3 Pd 2.46-2.64, 2 Si 2.49
Si (0.5263, 0.2500, 0.2763)  3 Pd 2.46-2.64, 2 Si 2.49
Si (0.6135, 0.8492, 0.4627)  3 Pd 2.42-2.51, 2 Si 2.49
Si (0.7500, 0.7500, 0.0000)  4 Pd 2.47
Si (0.8865, 0.3492, 0.2357)  3 Pd 2.42-2.51, 2 Si 2.49
Si (0.9737, 0.2500, 0.7237)  3 Pd 2.46-2.64, 2 Si 2.49
Pd (0.1391, 0.8919, 0.0310)  5 Si 2.42-2.47
Pd (0.2500, 0.7500, 0.5000)  6 Si 2.51-2.64
Pd (0.3609, 0.3919, 0.7528)  5 Si 2.42-2.47
Pd (0.6391, 0.6081, 0.2472)  5 Si 2.42-2.47
Pd (0.7500, 0.2500, 0.5000)  6 Si 2.51-2.64
Pd (0.8609, 0.1081, 0.9690)  5 Si 2.42-2.47

---

No. 4
Entry from Alexandria via LeMat-Bulk: a geometry-optimized CeSi2Pd structure (PBE-GGA).

Computed properties:
As for the calculated density: 6766 kg/m3. Its energy is -201.7 eV for the cell shown. For the density of states at the Fermi level, the calculation gives 4.6 states/eV/f.u. As for the space group: No. 62.

Cell lengths 13.6196, 4.1053, 10.6303 Å; angles 90.00, 90.00, 90.00 degrees
Last column: nearest neighbours and their distance in Å.
Element x y z (fractional)
Ce (0.0505, 0.2500, 0.2452)  9 Si 3.00-3.26, 3 Pd 3.30
Ce (0.1979, 0.7500, 0.9763)  10 Si 3.09-3.26, 4 Pd 3.15-3.42
Ce (0.3021, 0.2500, 0.4763)  10 Si 3.09-3.26, 4 Pd 3.15-3.42
Ce (0.4495, 0.7500, 0.7452)  9 Si 3.00-3.26, 3 Pd 3.30
Ce (0.5505, 0.2500, 0.2548)  9 Si 3.00-3.26, 3 Pd 3.30
Ce (0.6979, 0.7500, 0.5237)  10 Si 3.09-3.26, 4 Pd 3.15-3.42
Ce (0.8021, 0.2500, 0.0237)  10 Si 3.09-3.26, 4 Pd 3.15-3.42
Ce (0.9495, 0.7500, 0.7548)  9 Si 3.00-3.26, 3 Pd 3.30
Si (0.0289, 0.2500, 0.9585)  3 Si 2.32-2.37
Si (0.1152, 0.2500, 0.7703)  2 Si 2.32-2.38, 3 Pd 2.41-2.57
Si (0.1257, 0.7500, 0.4631)  1 Si 2.36, 4 Pd 2.45-2.54
Si (0.2101, 0.7500, 0.2694)  2 Si 2.36-2.38, 2 Pd 2.55
Si (0.2899, 0.2500, 0.7694)  2 Si 2.36-2.38, 2 Pd 2.55
Si (0.3743, 0.2500, 0.9631)  1 Si 2.36, 4 Pd 2.45-2.54
Si (0.3848, 0.7500, 0.2703)  2 Si 2.32-2.38, 3 Pd 2.41-2.57
Si (0.4711, 0.7500, 0.4585)  3 Si 2.32-2.37
Si (0.5289, 0.2500, 0.5415)  3 Si 2.32-2.37
Si (0.6152, 0.2500, 0.7297)  2 Si 2.32-2.38, 3 Pd 2.41-2.57
Si (0.6257, 0.7500, 0.0369)  1 Si 2.36, 4 Pd 2.45-2.54
Si (0.7101, 0.7500, 0.2306)  2 Si 2.36-2.38, 2 Pd 2.55
Si (0.7899, 0.2500, 0.7306)  2 Si 2.36-2.38, 2 Pd 2.55
Si (0.8743, 0.2500, 0.5369)  1 Si 2.36, 4 Pd 2.45-2.54
Si (0.8848, 0.7500, 0.2297)  2 Si 2.32-2.38, 3 Pd 2.41-2.57
Si (0.9711, 0.7500, 0.0415)  3 Si 2.32-2.37
Pd (0.0590, 0.2500, 0.5558)  4 Si 2.41-2.52
Pd (0.2039, 0.7500, 0.6798)  5 Si 2.54-2.57
Pd (0.2961, 0.2500, 0.1798)  5 Si 2.54-2.57
Pd (0.4410, 0.7500, 0.0558)  4 Si 2.41-2.52
Pd (0.5590, 0.2500, 0.9442)  4 Si 2.41-2.52
Pd (0.7039, 0.7500, 0.8202)  5 Si 2.54-2.57
Pd (0.7961, 0.2500, 0.3202)  5 Si 2.54-2.57
Pd (0.9410, 0.7500, 0.4442)  4 Si 2.41-2.52

---

No. 5
Entry from Alexandria via LeMat-Bulk: a geometry-optimized CeSi3Pd structure (PBE-GGA).

Computed properties:
As for the calculated density: 6118 kg/m3. Its energy is -58.8 eV for the cell shown. For the density of states at the Fermi level, the calculation gives 4.2 states/eV/f.u. As for the space group: No. 63.

Cell lengths 7.3864, 7.3864, 5.5438 Å; angles 90.00, 90.00, 143.58 degrees
Last column: nearest neighbours and their distance in Å.
Element x y z (fractional)
Ce (0.0931, 0.9069, 0.7500)  5 Si 2.81-3.08
Ce (0.9069, 0.0931, 0.2500)  5 Si 2.81-3.08
Si (0.1264, 0.8736, 0.2500)  2 Pd 2.44, 2 Si 2.53
Si (0.2829, 0.7171, 0.0216)  4 Si 2.50-2.53, 1 Pd 2.55
Si (0.2829, 0.7171, 0.4784)  4 Si 2.50-2.53, 1 Pd 2.55
Si (0.7171, 0.2829, 0.5216)  4 Si 2.50-2.53, 1 Pd 2.55
Si (0.7171, 0.2829, 0.9784)  4 Si 2.50-2.53, 1 Pd 2.55
Si (0.8736, 0.1264, 0.7500)  2 Pd 2.44, 2 Si 2.53
Pd (0.4297, 0.5703, 0.7500)  4 Si 2.44-2.55
Pd (0.5703, 0.4297, 0.2500)  4 Si 2.44-2.55

---

No. 6
Entry from Alexandria via LeMat-Bulk: a geometry-optimized CeSi3Pd3 structure (PBE-GGA).

Computed properties:
As for the calculated density: 6272 kg/m3. Its energy is -81.4 eV for the cell shown. For the density of states at the Fermi level, the calculation gives 9.8 states/eV/f.u. As for the space group: No. 223.

Cell lengths 6.6027, 6.6027, 6.6027 Å; angles 90.00, 90.00, 90.00 degrees
Last column: nearest neighbours and their distance in Å.
Element x y z (fractional)
Ce (0.0000, 0.0000, 0.0000)  12 Pd 3.69, 12 Si 3.69
Ce (0.5000, 0.5000, 0.5000)  12 Pd 3.69, 12 Si 3.69
Si (0.0000, 0.2500, 0.5000)  4 Pd 2.33
Si (0.0000, 0.7500, 0.5000)  4 Pd 2.33
Si (0.2500, 0.5000, 0.0000)  4 Pd 2.33
Si (0.5000, 0.0000, 0.2500)  4 Pd 2.33
Si (0.5000, 0.0000, 0.7500)  4 Pd 2.33
Si (0.7500, 0.5000, 0.0000)  4 Pd 2.33
Pd (0.0000, 0.5000, 0.2500)  4 Si 2.33
Pd (0.0000, 0.5000, 0.7500)  4 Si 2.33
Pd (0.2500, 0.0000, 0.5000)  4 Si 2.33
Pd (0.5000, 0.2500, 0.0000)  4 Si 2.33
Pd (0.5000, 0.7500, 0.0000)  4 Si 2.33
Pd (0.7500, 0.0000, 0.5000)  4 Si 2.33

---

Number 1: raw formation energy -6.64 eV/f.u.. Number 2: raw formation energy -5.14 eV/f.u.. Number 3: raw formation energy -8.09 eV/f.u.. Number 4: raw formation energy -3.23 eV/f.u.. Number 5: raw formation energy -2.02 eV/f.u.. Number 6: raw formation energy -2.91 eV/f.u..